*1*
The following is a PBE-GGA calculation of a relaxed structure of Cu4Te, from OQMD via LeMat-Bulk.

Cell: 10.2955 2.8955 24.9678 Å, 90.00 92.38 90.00°
Last column: nearest neighbours and their distance in Å.
Space group P2_1/m (No. 11)
Asymmetric unit:
Cu1 0.0005 0.2500 0.0415  10 Cu 2.53-2.62
Cu2 0.0039 0.2500 0.8752  8 Cu 2.54-2.63, 2 Te 2.84
Cu3 0.1979 0.2500 0.1492  6 Cu 2.52-2.58, 1 Te 2.70
Cu4 0.1995 0.2500 0.9807  9 Cu 2.50-2.60
Cu5 0.1996 0.7500 0.0646  10 Cu 2.52-2.83
Cu6 0.2036 0.7500 0.8991  9 Cu 2.50-2.62
Cu7 0.2049 0.2500 0.8159  5 Cu 2.53-2.59, 2 Te 2.80
Cu8 0.3984 0.7500 0.1497  7 Cu 2.44-2.56, 1 Te 2.51
Cu9 0.4004 0.2500 0.0710  9 Cu 2.44-2.62
Cu10 0.3997 0.7500 0.9905  9 Cu 2.48-2.62
Cu11 0.4019 0.2500 0.9083  9 Cu 2.51-2.56
Cu12 0.4079 0.7500 0.8262  6 Cu 2.51-2.55, 1 Te 2.64
Te1 0.0129 0.2500 0.2225  5 Cu 2.70-2.84, 2 Te 2.90
Te2 0.3018 0.7500 0.7279  3 Cu 2.64-2.84, 2 Te 2.90
Te3 0.3375 0.7500 0.2462  1 Cu 2.51

=====

*2*
The following is a PBE-GGA calculation of a relaxed structure of Cu4Te, from OQMD via LeMat-Bulk.

Cell: 5.6651 3.7142 29.6368 Å, 90.00 90.39 90.00°
Last column: nearest neighbours and their distance in Å.
Space group P2_1/m (No. 11)
Asymmetric unit:
Cu1 0.0349 0.2500 0.3378  11 Cu 2.51-2.60, 1 Te 2.76
Cu2 0.0508 0.2500 0.5285  12 Cu 2.52-2.58
Cu3 0.0750 0.2500 0.7201  6 Cu 2.53-2.61, 3 Te 2.58-2.71
Cu4 0.1454 0.7500 0.3955  12 Cu 2.52-2.60
Cu5 0.1535 0.7500 0.5856  12 Cu 2.51-2.58
Cu6 0.2477 0.2500 0.4526  12 Cu 2.52-2.58
Cu7 0.2584 0.2500 0.6425  12 Cu 2.52-2.59
Cu8 0.3388 0.7500 0.3189  9 Cu 2.53-2.61, 2 Te 2.72
Cu9 0.3505 0.7500 0.5098  12 Cu 2.52-2.58
Cu10 0.3632 0.7500 0.7003  8 Cu 2.52-2.59, 1 Te 2.60
Cu11 0.4419 0.2500 0.3764  12 Cu 2.52-2.59
Cu12 0.4533 0.2500 0.5665  12 Cu 2.52-2.58
Te1 0.1176 0.7500 0.8533  2 Te 2.85
Te2 0.2437 0.2500 0.2540  6 Cu 2.60-2.76
Te3 0.3283 0.2500 0.7930  1 Cu 2.58, 2 Te 2.85

=====

Energies, relative to the best one, in meV/atom: *1* 53; *2* 0.

=====

*1*
The following is a PBE-GGA calculation of a relaxed structure of Cu9Te2, from OQMD via LeMat-Bulk.

Cell: 2.8899 2.8899 44.0357 Å, 90.00 90.00 90.00°
Last column: nearest neighbours and their distance in Å.
Space group P4/nmm (No. 129, origin choice 2)
Asymmetric unit:
Cu1 0.2500 0.2500 0.0160  8 Cu 2.48-2.49
Cu2 0.2500 0.2500 0.0805  8 Cu 2.49
Cu3 0.2500 0.2500 0.1454  8 Cu 2.49-2.50
Cu4 0.2500 0.2500 0.2103  8 Cu 2.47-2.50
Cu5 0.2500 0.2500 0.2749  4 Cu 2.51
Cu6 0.2500 0.2500 0.7582  8 Cu 2.47-2.51
Cu7 0.2500 0.2500 0.8224  8 Cu 2.49-2.50
Cu8 0.2500 0.2500 0.8872  8 Cu 2.49-2.50
Cu9 0.2500 0.2500 0.9517  8 Cu 2.49
Te1 0.2500 0.2500 0.4101  4 Te 2.89
Te2 0.2500 0.2500 0.6764  4 Te 2.89, 4 Cu 2.96

=====

*2*
The following is a PBE-GGA calculation of a relaxed structure of Cu9Te2, from OQMD via LeMat-Bulk.

Cell: 2.8989 2.8989 32.6503 Å, 90.00 90.00 120.00°
Last column: nearest neighbours and their distance in Å.
Space group P-3m1 (No. 164)
Asymmetric unit:
Cu1 0.0000 0.0000 0.0000  6 Cu 2.49
Cu2 0.0000 0.0000 0.1701  6 Cu 2.50-2.51
Cu3 0.3333 0.6667 0.1131  6 Cu 2.49-2.50
Cu4 0.3333 0.6667 0.7728  3 Cu 2.51
Cu5 0.3333 0.6667 0.9435  6 Cu 2.49
Te1 0.3333 0.6667 0.3012  6 Te 2.90, 3 Cu 2.94

=====

*3*
The following is a PBE-GGA calculation of a relaxed structure of Cu9Te2, from OQMD via LeMat-Bulk.

Cell: 2.8714 2.8714 32.9008 Å, 90.00 90.00 120.00°
Last column: nearest neighbours and their distance in Å.
Space group P-3m1 (No. 164)
Asymmetric unit:
Cu1 0.0000 0.0000 0.0000  6 Cu 2.50
Cu2 0.0000 0.0000 0.1710  6 Cu 2.51
Cu3 0.3333 0.6667 0.1138  6 Cu 2.50-2.51
Cu4 0.3333 0.6667 0.7718  3 Cu 2.51
Cu5 0.3333 0.6667 0.9432  6 Cu 2.50
Te1 0.3333 0.6667 0.3026  6 Te 2.87, 3 Cu 2.96

=====

*4*
The following is a PBE-GGA calculation of a relaxed structure of Cu9Te2, from OQMD via LeMat-Bulk.

Cell: 2.7935 3.4346 43.0098 Å, 90.00 90.00 90.00°
Last column: nearest neighbours and their distance in Å.
Space group Pmmn (No. 59, origin choice 2)
Asymmetric unit:
Cu1 0.2500 0.2500 0.0146  12 Cu 2.52-2.79
Cu2 0.2500 0.2500 0.0733  12 Cu 2.52-2.79
Cu3 0.2500 0.2500 0.1320  12 Cu 2.53-2.79
Cu4 0.2500 0.2500 0.1910  12 Cu 2.54-2.79
Cu5 0.2500 0.2500 0.2500  7 Cu 2.54-2.79, 4 Te 2.80
Cu6 0.2500 0.2500 0.7792  11 Cu 2.54-2.79
Cu7 0.2500 0.2500 0.8384  12 Cu 2.53-2.79
Cu8 0.2500 0.2500 0.8973  12 Cu 2.52-2.79
Cu9 0.2500 0.2500 0.9560  12 Cu 2.52-2.79
Te1 0.2500 0.2500 0.3664  2 Te 2.79
Te2 0.2500 0.2500 0.7100  2 Te 2.79, 5 Cu 2.80-2.98

=====

Energies, relative to the best one, in meV/atom: *1* 10; *2* 228; *3* 234; *4* 0.

=====

*1*
The following is a PBE-GGA calculation of a relaxed structure of Cu13Te2, from OQMD via LeMat-Bulk.

Cell: 10.3209 2.7456 25.5212 Å, 90.00 92.36 90.00°
Last column: nearest neighbours and their distance in Å.
Space group C2/m (No. 12)
Asymmetric unit:
Cu1 0.0000 0.0000 0.0000  12 Cu 2.50-2.75
Cu2 0.0487 0.0000 0.8983  12 Cu 2.51-2.75
Cu3 0.0776 0.5000 0.1701  9 Cu 2.53-2.76, 2 Te 2.80
Cu4 0.1140 0.0000 0.8018  7 Cu 2.53-2.75, 2 Te 2.72
Cu5 0.1305 0.5000 0.0651  12 Cu 2.48-2.76
Cu6 0.1815 0.5000 0.9663  12 Cu 2.50-2.75
Cu7 0.2420 0.5000 0.8701  11 Cu 2.48-2.75
Te1 0.2072 0.0000 0.2523  4 Cu 2.72-2.80, 2 Te 2.75

=====

*2*
The following is a PBE-GGA calculation of a relaxed structure of Cu13Te2, from OQMD via LeMat-Bulk.

Cell: 4.4289 5.7641 27.9912 Å, 88.55 89.19 75.12°
Last column: nearest neighbours and their distance in Å.
Space group P-1 (No. 2)
Asymmetric unit:
Cu1 0.0009 0.2637 0.4397  12 Cu 2.52-2.59
Cu2 0.0177 0.7803 0.3182  9 Cu 2.52-2.61, 2 Te 2.70-2.74
Cu3 0.1356 0.7930 0.6456  11 Cu 2.48-2.60
Cu4 0.1369 0.3459 0.2857  6 Cu 2.48-2.69, 3 Te 2.55-2.68
Cu5 0.1430 0.3151 0.5255  12 Cu 2.54-2.59
Cu6 0.1470 0.8425 0.4049  12 Cu 2.54-2.59
Cu7 0.2794 0.3687 0.6122  12 Cu 2.54-2.59
Cu8 0.2856 0.8940 0.4913  12 Cu 2.53-2.59
Cu9 0.2905 0.4219 0.3714  12 Cu 2.53-2.60
Cu10 0.4176 0.4252 0.6982  8 Cu 2.51-2.69, 2 Te 2.61-2.80
Cu11 0.4272 0.9475 0.5767  12 Cu 2.53-2.60
Cu12 0.4295 0.4745 0.4570  12 Cu 2.53-2.59
Cu13 0.4452 0.9958 0.3370  10 Cu 2.53-2.59, 1 Te 2.73
Te1 0.2249 0.6676 0.2267  3 Cu 2.55-2.74
Te2 0.2814 0.8692 0.7432  6 Cu 2.63-2.89

=====

Energies, relative to the best one, in meV/atom: *1* 84; *2* 0.